A plane-wave DFT calculation with PBE was carried out for crystalline PrLuIn at its relaxed geometry.

- Crystal system: trigonal
- Energy above the lowest structure with this stoichiometry: 46.9 meV/atom
- Total energy: -0.312 Ry/atom

abc: 5.263 5.263 3.767
angles: 90.00 90.00 120.00
Atoms (fractional coordinates):
Pr  0.000  0.000  0.000
Lu  0.667  0.333  0.527
In  0.333  0.667  0.437

=====

A plane-wave DFT calculation with PBE was carried out for crystalline PrLu2In at its relaxed geometry.

- Crystal system: cubic
- Energy above the lowest structure with this stoichiometry: 194.5 meV/atom
- Total energy: -0.308 Ry/atom

abc: 5.436 5.436 5.436
angles: 60.00 60.00 60.00
Atoms (fractional coordinates):
Pr  0.000  0.000  0.000
Lu  0.250  0.250  0.250
Lu  0.750  0.750  0.750
In  0.500  0.500  0.500

=====

A plane-wave DFT calculation with PBE was carried out for crystalline PrLuIn4 at its relaxed geometry.

- Crystal system: cubic
- Total energy: -0.271 Ry/atom

abc: 6.040 6.040 6.040
angles: 60.00 60.00 60.00
Atoms (fractional coordinates):
Pr  0.000  0.000  0.000
Lu  0.250  0.250  0.250
In  0.125  0.625  0.625
In  0.625  0.125  0.625
In  0.625  0.625  0.125
In  0.625  0.625  0.625

=====

A plane-wave DFT calculation with PBE was carried out for crystalline PrLu2In at its relaxed geometry.

- Crystal system: tetragonal
- Energy above the lowest structure with this stoichiometry: 0.0 meV/atom
- Total energy: -0.322 Ry/atom

abc: 4.868 4.868 4.820
angles: 90.00 90.00 90.00
Atoms (fractional coordinates):
Pr  0.000  0.000  0.000
Lu  0.000  0.500  0.500
Lu  0.500  0.000  0.500
In  0.500  0.500  0.000

=====

A plane-wave DFT calculation with PBE was carried out for crystalline PrLuIn at its relaxed geometry.

- Crystal system: tetragonal
- Energy above the lowest structure with this stoichiometry: 0.0 meV/atom
- Total energy: -0.316 Ry/atom

abc: 7.352 7.352 7.352
angles: 151.74 151.74 40.40
Atoms (fractional coordinates):
Pr  0.000  0.000  0.000
Lu  0.690  0.690  0.000
In  0.334  0.334  0.000

=====

A plane-wave DFT calculation with PBE was carried out for crystalline PrLu2In at its relaxed geometry.

- Crystal system: trigonal
- Energy above the lowest structure with this stoichiometry: 301.9 meV/atom
- Total energy: -0.300 Ry/atom

abc: 11.951 11.951 11.951
angles: 16.65 16.65 16.65
Atoms (fractional coordinates):
Pr  0.000  0.000  0.000
Lu  0.096  0.096  0.096
Lu  0.904  0.904  0.904
In  0.500  0.500  0.500

=====

A plane-wave DFT calculation with PBE was carried out for crystalline PrLuScIn at its relaxed geometry.

- Crystal system: cubic
- Total energy: -0.347 Ry/atom

abc: 5.365 5.365 5.365
angles: 60.00 60.00 60.00
Atoms (fractional coordinates):
Pr  0.000  0.000  0.000
Lu  0.750  0.750  0.750
Sc  0.500  0.500  0.500
In  0.250  0.250  0.250

=====

A plane-wave DFT calculation with PBE was carried out for crystalline PrSmLuIn at its relaxed geometry.

- Crystal system: cubic
- Total energy: -0.320 Ry/atom

abc: 5.528 5.528 5.528
angles: 60.00 60.00 60.00
Atoms (fractional coordinates):
Pr  0.000  0.000  0.000
Sm  0.500  0.500  0.500
Lu  0.750  0.750  0.750
In  0.250  0.250  0.250

=====

A plane-wave DFT calculation with PBE was carried out for crystalline PrLuInSn at its relaxed geometry.

- Crystal system: cubic
- Total energy: -0.329 Ry/atom

abc: 5.396 5.396 5.396
angles: 60.00 60.00 60.00
Atoms (fractional coordinates):
Pr  0.000  0.000  0.000
Lu  0.500  0.500  0.500
In  0.750  0.750  0.750
Sn  0.250  0.250  0.250

=====

A plane-wave DFT calculation with PBE was carried out for crystalline TbPrLuIn at its relaxed geometry.

- Crystal system: cubic
- Total energy: -0.318 Ry/atom

abc: 5.498 5.498 5.498
angles: 60.00 60.00 60.00
Atoms (fractional coordinates):
Tb  0.000  0.000  0.000
Pr  0.500  0.500  0.500
Lu  0.750  0.750  0.750
In  0.250  0.250  0.250

=====

A plane-wave DFT calculation with PBE was carried out for crystalline PrTmLuIn at its relaxed geometry.

- Crystal system: cubic
- Total energy: -0.314 Ry/atom

abc: 5.469 5.469 5.469
angles: 60.00 60.00 60.00
Atoms (fractional coordinates):
Pr  0.000  0.000  0.000
Tm  0.500  0.500  0.500
Lu  0.750  0.750  0.750
In  0.250  0.250  0.250

=====

A plane-wave DFT calculation with PBE was carried out for crystalline PrYLuIn at its relaxed geometry.

- Crystal system: cubic
- Total energy: -0.352 Ry/atom

abc: 5.499 5.499 5.499
angles: 60.00 60.00 60.00
Atoms (fractional coordinates):
Pr  0.000  0.000  0.000
Y  0.500  0.500  0.500
Lu  0.250  0.250  0.250
In  0.750  0.750  0.750

=====

Number 1: total magnetic moment 0.01 μB/cell, formation energy -0.2362 eV per atom. Number 2: total magnetic moment 1.76 μB/cell, formation energy -0.0505 eV per atom. Number 3: total magnetic moment 0.00 μB/cell, formation energy -0.3180 eV per atom. Number 4: total magnetic moment 0.00 μB/cell, formation energy -0.2450 eV per atom. Number 5: total magnetic moment 0.00 μB/cell, formation energy -0.2831 eV per atom. Number 6: total magnetic moment 0.00 μB/cell, formation energy 0.0569 eV per atom. Number 7: total magnetic moment 0.05 μB/cell, formation energy -0.1341 eV per atom. Number 8: total magnetic moment 0.03 μB/cell, formation energy -0.1612 eV per atom. Number 9: total magnetic moment 0.00 μB/cell, formation energy -0.4661 eV per atom. Number 10: total magnetic moment 0.36 μB/cell, formation energy -0.1548 eV per atom. Number 11: total magnetic moment 0.12 μB/cell, formation energy -0.1393 eV per atom. Number 12: total magnetic moment 0.61 μB/cell, formation energy -0.1629 eV per atom.